The following is a SCAN calculation of a crystal of Nd3CuGeS7 relaxed with PBEsol, from Alexandria.

The crystal system is hexagonal. The value obtained for the calculated density is 5.2 g cm⁻³. As for the total magnetic moment: 0.00 Bohr magnetons per cell. The calculation puts the total DFT energy (no corrections) at -21.06 eV per atom. The calculation puts the formation energy from raw total energies at -1.691 eV per atom.

It has space group P6_3 (No. 173), with a = 10.0604 Å, b = 10.0604 Å, c = 5.7546 Å, α = 90.00°, β = 90.00° and γ = 120.00°. The inequivalent atoms are Nd at (0.1280, 0.7713, 0.0000), Cu at (0.0000, 0.0000, 0.0238), Ge at (0.3333, 0.6667, 0.4189), S at (0.0912, 0.8379, 0.5142), S at (0.1017, 0.5193, 0.2638) and S at (0.3333, 0.6667, 0.7982).